Sm4PdO7 after structural relaxation, computed with GGA-PBEsol. Values from VASP.

Quantum ESPRESSO input file:
```
&SYSTEM
  ibrav = 0, nat = 24, ntyp = 3
/
ATOMIC_SPECIES
Sm 150.36 Sm.upf
Pd 106.42 Pd.upf
O 16.00 O.upf
ATOMIC_POSITIONS angstrom
Sm 2.050 3.450 2.466
Sm 3.515 4.563 6.111
Sm 3.204 6.971 1.610
Sm 4.373 8.036 4.966
Sm 5.617 1.620 1.983
Sm 6.786 2.685 5.340
Sm 6.475 5.093 0.839
Sm 7.940 6.206 4.484
Pd 3.775 3.559 0.000
Pd 4.995 4.828 3.475
O 1.911 3.780 4.696
O 1.025 1.641 1.410
O 1.820 4.099 0.045
O 3.515 6.056 4.060
O 4.571 2.568 6.260
O 3.420 1.636 2.803
O 4.048 4.666 1.680
O 5.942 4.990 5.270
O 6.570 8.020 4.147
O 5.419 7.088 0.690
O 6.475 3.600 2.890
O 8.170 5.557 6.905
O 8.965 8.015 5.540
O 8.079 5.876 2.254
CELL_PARAMETERS angstrom
6.821 0.000 0.000
0.730 7.118 0.000
2.439 2.538 6.950
```

Summary:
Energy ... -8.243 eV per atom

***

SrPd3O4 after structural relaxation, computed with GGA-PBEsol. Values from VASP.

Quantum ESPRESSO input file:
```
&SYSTEM
  ibrav = 0, nat = 16, ntyp = 3
/
ATOMIC_SPECIES
Sr 87.62 Sr.upf
Pd 106.42 Pd.upf
O 16.00 O.upf
ATOMIC_POSITIONS angstrom
Sr 0.000 0.000 0.000
Sr 2.903 2.903 2.903
Pd 0.000 1.452 2.903
Pd 0.000 4.355 2.903
Pd 1.452 2.903 0.000
Pd 2.903 0.000 1.452
Pd 2.903 0.000 4.355
Pd 4.355 2.903 0.000
O 1.452 1.452 1.452
O 1.452 1.452 4.355
O 1.452 4.355 1.452
O 1.452 4.355 4.355
O 4.355 1.452 1.452
O 4.355 1.452 4.355
O 4.355 4.355 1.452
O 4.355 4.355 4.355
CELL_PARAMETERS angstrom
5.807 0.000 0.000
0.000 5.807 0.000
0.000 0.000 5.807
```

Summary:
Energy ... -6.275 eV per atom

***

SrPdO2 after structural relaxation, computed with GGA-PBEsol. Values from VASP.

Quantum ESPRESSO input file:
```
&SYSTEM
  ibrav = 0, nat = 4, ntyp = 3
/
ATOMIC_SPECIES
Sr 87.62 Sr.upf
Pd 106.42 Pd.upf
O 16.00 O.upf
ATOMIC_POSITIONS angstrom
Sr 0.000 0.000 0.000
Pd 2.953 2.953 2.953
O 1.476 1.476 1.476
O 4.429 4.429 4.429
CELL_PARAMETERS angstrom
0.000 2.953 2.953
2.953 0.000 2.953
2.953 2.953 0.000
```

Summary:
Energy ... -5.599 eV per atom

***

SrPd2O after structural relaxation, computed with GGA-PBEsol. Values from VASP.

Quantum ESPRESSO input file:
```
&SYSTEM
  ibrav = 0, nat = 8, ntyp = 3
/
ATOMIC_SPECIES
Sr 87.62 Sr.upf
Pd 106.42 Pd.upf
O 16.00 O.upf
ATOMIC_POSITIONS angstrom
Sr 2.597 1.298 1.543
Sr 0.000 1.298 4.630
Pd 0.000 0.000 0.000
Pd 1.298 1.298 -3.087
Pd 1.298 -1.298 3.087
Pd 0.000 2.597 0.000
O 2.597 -1.298 4.630
O 0.000 3.895 1.543
CELL_PARAMETERS angstrom
-2.597 2.597 6.174
2.597 -2.597 6.174
2.597 2.597 -6.174
```

Summary:
Energy ... -5.287 eV per atom

***

Ta3PdO after structural relaxation, computed with GGA-PBEsol. Values from VASP.

Quantum ESPRESSO input file:
```
&SYSTEM
  ibrav = 0, nat = 5, ntyp = 3
/
ATOMIC_SPECIES
Ta 180.95 Ta.upf
Pd 106.42 Pd.upf
O 16.00 O.upf
ATOMIC_POSITIONS angstrom
Ta 0.000 0.000 2.379
Ta 0.000 2.379 0.000
Ta 2.379 0.000 0.000
Pd 0.000 0.000 0.000
O 2.379 2.379 2.379
CELL_PARAMETERS angstrom
4.757 0.000 0.000
0.000 4.757 0.000
0.000 0.000 4.757
```

Summary:
Energy ... -7.802 eV per atom

***

TcPdO3 after structural relaxation, computed with GGA-PBEsol. Values from VASP.

Quantum ESPRESSO input file:
```
&SYSTEM
  ibrav = 0, nat = 5, ntyp = 3
/
ATOMIC_SPECIES
Tc 98.00 Tc.upf
Pd 106.42 Pd.upf
O 16.00 O.upf
ATOMIC_POSITIONS angstrom
Tc 0.000 0.000 0.000
Pd 1.903 1.903 1.903
O 0.000 0.000 1.903
O 0.000 1.903 0.000
O 1.903 0.000 0.000
CELL_PARAMETERS angstrom
3.807 0.000 0.000
0.000 3.807 0.000
0.000 0.000 3.807
```

Summary:
Energy ... -7.278 eV per atom

***

TiTcPd2O after structural relaxation, computed with GGA-PBEsol. Values from VASP.

Quantum ESPRESSO input file:
```
&SYSTEM
  ibrav = 0, nat = 5, ntyp = 4
/
ATOMIC_SPECIES
Ti 47.87 Ti.upf
Tc 98.00 Tc.upf
Pd 106.42 Pd.upf
O 16.00 O.upf
ATOMIC_POSITIONS angstrom
Ti 0.000 0.000 0.000
Tc 0.000 0.000 2.236
Pd 0.000 2.286 0.000
Pd 2.286 0.000 0.000
O 2.286 2.286 2.236
CELL_PARAMETERS angstrom
4.572 0.000 0.000
0.000 4.572 0.000
0.000 0.000 4.471
```

Summary:
Energy ... -5.820 eV per atom

***

TePdO2 after structural relaxation, computed with GGA-PBEsol. Values from VASP.

Quantum ESPRESSO input file:
```
&SYSTEM
  ibrav = 0, nat = 4, ntyp = 3
/
ATOMIC_SPECIES
Te 127.60 Te.upf
Pd 106.42 Pd.upf
O 16.00 O.upf
ATOMIC_POSITIONS angstrom
Te 0.000 0.000 0.000
Pd 0.000 0.000 9.371
O 0.000 0.000 2.174
O 0.000 0.000 16.567
CELL_PARAMETERS angstrom
1.654 0.955 6.247
-1.654 0.955 6.247
0.000 -1.910 6.247
```

Summary:
Energy ... -5.324 eV per atom

***

TiPdO3 after structural relaxation, computed with GGA-PBEsol. Values from VASP.

Quantum ESPRESSO input file:
```
&SYSTEM
  ibrav = 0, nat = 5, ntyp = 3
/
ATOMIC_SPECIES
Ti 47.87 Ti.upf
Pd 106.42 Pd.upf
O 16.00 O.upf
ATOMIC_POSITIONS angstrom
Ti 0.000 0.000 0.000
Pd 1.929 1.929 1.929
O 0.000 1.929 1.929
O 1.929 0.000 1.929
O 1.929 1.929 0.000
CELL_PARAMETERS angstrom
3.859 0.000 0.000
0.000 3.859 0.000
0.000 0.000 3.859
```

Summary:
Energy ... -6.508 eV per atom

***

ZrTi2PdO after structural relaxation, computed with GGA-PBEsol. Values from VASP.

Quantum ESPRESSO input file:
```
&SYSTEM
  ibrav = 0, nat = 5, ntyp = 4
/
ATOMIC_SPECIES
Zr 91.22 Zr.upf
Ti 47.87 Ti.upf
Pd 106.42 Pd.upf
O 16.00 O.upf
ATOMIC_POSITIONS angstrom
Zr 0.000 0.000 0.000
Ti 0.000 2.023 2.207
Ti 2.023 0.000 2.207
Pd 2.023 2.023 0.000
O 0.000 0.000 2.207
CELL_PARAMETERS angstrom
4.046 0.000 0.000
0.000 4.046 0.000
0.000 0.000 4.414
```

Summary:
Energy ... -8.735 eV per atom

***

TlPdO2 after structural relaxation, computed with GGA-PBEsol. Values from VASP.

Quantum ESPRESSO input file:
```
&SYSTEM
  ibrav = 0, nat = 4, ntyp = 3
/
ATOMIC_SPECIES
Tl 204.38 Tl.upf
Pd 106.42 Pd.upf
O 16.00 O.upf
ATOMIC_POSITIONS angstrom
Tl 0.000 0.000 0.000
Pd 2.899 2.899 2.899
O 1.449 1.449 1.449
O 4.348 4.348 4.348
CELL_PARAMETERS angstrom
0.000 2.899 2.899
2.899 0.000 2.899
2.899 2.899 0.000
```

Summary:
Energy ... -4.740 eV per atom

***

TlPd3O after structural relaxation, computed with GGA-PBEsol. Values from VASP.

Quantum ESPRESSO input file:
```
&SYSTEM
  ibrav = 0, nat = 5, ntyp = 3
/
ATOMIC_SPECIES
Tl 204.38 Tl.upf
Pd 106.42 Pd.upf
O 16.00 O.upf
ATOMIC_POSITIONS angstrom
Tl 0.000 0.000 0.000
Pd 0.000 2.120 2.120
Pd 2.120 0.000 2.120
Pd 2.120 2.120 0.000
O 2.120 2.120 2.120
CELL_PARAMETERS angstrom
4.240 0.000 0.000
0.000 4.240 0.000
0.000 0.000 4.240
```

Summary:
Energy ... -5.181 eV per atom

***

YTlPdO2 after structural relaxation, computed with GGA-PBEsol. Values from VASP.

Quantum ESPRESSO input file:
```
&SYSTEM
  ibrav = 0, nat = 5, ntyp = 4
/
ATOMIC_SPECIES
Y 88.91 Y.upf
Tl 204.38 Tl.upf
Pd 106.42 Pd.upf
O 16.00 O.upf
ATOMIC_POSITIONS angstrom
Y 0.000 0.000 0.000
Tl 2.103 2.103 2.778
Pd 0.000 0.000 2.778
O 0.000 2.103 0.000
O 2.103 0.000 0.000
CELL_PARAMETERS angstrom
4.205 0.000 0.000
0.000 4.205 0.000
0.000 0.000 5.556
```

Summary:
Energy ... -6.177 eV per atom

***

Tm2Pd2O5 after structural relaxation, computed with GGA-PBEsol. Values from VASP.

Quantum ESPRESSO input file:
```
&SYSTEM
  ibrav = 0, nat = 9, ntyp = 3
/
ATOMIC_SPECIES
Tm 168.93 Tm.upf
Pd 106.42 Pd.upf
O 16.00 O.upf
ATOMIC_POSITIONS angstrom
Tm 0.000 0.000 0.000
Tm 0.000 0.000 3.384
Pd 1.972 1.972 1.290
Pd 1.972 1.972 5.479
O 0.000 1.972 1.530
O 0.000 1.972 5.239
O 1.972 0.000 1.530
O 1.972 0.000 5.239
O 1.972 1.972 3.384
CELL_PARAMETERS angstrom
3.944 0.000 0.000
0.000 3.944 0.000
0.000 0.000 6.769
```

Summary:
Energy ... -7.060 eV per atom

***

ZrPdO3 after structural relaxation, computed with GGA-PBEsol. Values from VASP.

Quantum ESPRESSO input file:
```
&SYSTEM
  ibrav = 0, nat = 5, ntyp = 3
/
ATOMIC_SPECIES
Zr 91.22 Zr.upf
Pd 106.42 Pd.upf
O 16.00 O.upf
ATOMIC_POSITIONS angstrom
Zr 0.000 0.000 0.000
Pd 2.043 2.043 2.043
O 0.000 0.000 2.043
O 0.000 2.043 0.000
O 2.043 0.000 0.000
CELL_PARAMETERS angstrom
4.087 0.000 0.000
0.000 4.087 0.000
0.000 0.000 4.087
```

Summary:
Energy ... -7.621 eV per atom

***

Pm2O3 after structural relaxation, computed with GGA-PBEsol. Values from VASP.

Quantum ESPRESSO input file:
```
&SYSTEM
  ibrav = 0, nat = 15, ntyp = 2
/
ATOMIC_SPECIES
Pm 145.00 Pm.upf
O 16.00 O.upf
ATOMIC_POSITIONS angstrom
Pm 0.009 0.000 2.716
Pm 3.846 0.000 3.162
Pm 5.156 0.000 0.103
Pm 7.503 0.000 8.622
Pm 8.813 0.000 5.563
Pm 12.650 0.000 6.009
O 0.647 0.000 6.858
O 1.771 0.000 4.128
O 2.681 0.000 1.108
O 5.441 0.000 7.369
O 6.330 0.000 4.363
O 7.219 0.000 1.356
O 9.979 0.000 7.617
O 10.889 0.000 4.597
O 12.013 0.000 1.867
CELL_PARAMETERS angstrom
7.085 -1.813 0.000
7.085 1.813 0.000
-1.511 0.000 8.725
```

Summary:
Energy ... -8.631 eV per atom

***

Pm2O3 after structural relaxation, computed with GGA-PBEsol. Values from VASP.

Quantum ESPRESSO input file:
```
&SYSTEM
  ibrav = 0, nat = 5, ntyp = 2
/
ATOMIC_SPECIES
Pm 145.00 Pm.upf
O 16.00 O.upf
ATOMIC_POSITIONS angstrom
Pm 0.000 2.184 1.463
Pm 1.892 1.092 4.448
O 0.000 0.000 0.000
O 0.000 2.184 3.815
O 1.892 1.092 2.096
CELL_PARAMETERS angstrom
3.783 0.000 0.000
-1.892 3.277 0.000
0.000 0.000 5.911
```

Summary:
Energy ... -8.633 eV per atom

***

Pm2O3 after structural relaxation, computed with GGA-PBEsol. Values from VASP.

Quantum ESPRESSO input file:
```
&SYSTEM
  ibrav = 0, nat = 40, ntyp = 2
/
ATOMIC_SPECIES
Pm 145.00 Pm.upf
O 16.00 O.upf
ATOMIC_POSITIONS angstrom
Pm 0.000 0.000 0.000
Pm 5.471 0.000 0.000
Pm 5.471 -2.736 3.078
Pm 8.207 2.393 0.000
Pm 3.078 5.471 -2.736
Pm 3.078 0.000 2.736
Pm 2.736 3.078 0.000
Pm 5.471 2.736 2.393
Pm 0.000 5.471 0.000
Pm 0.000 0.000 5.471
Pm 0.000 2.736 3.078
Pm 2.736 2.393 5.471
Pm 2.393 5.471 2.736
Pm 2.393 0.000 8.207
Pm -2.736 3.078 5.471
Pm 0.000 8.207 2.393
O 6.568 1.536 -1.410
O 1.536 1.410 -1.097
O 1.410 -1.097 1.536
O 3.935 1.410 1.097
O 4.374 3.935 -1.410
O 6.881 1.097 1.536
O 6.881 -1.097 3.935
O -1.097 1.536 1.410
O 3.935 -1.410 4.374
O 1.410 1.097 3.935
O 1.536 -1.410 6.568
O 1.097 3.935 1.410
O 4.374 1.536 4.061
O 3.935 6.881 -1.097
O 4.061 4.374 1.536
O 1.536 6.881 1.097
O 6.568 3.935 4.061
O -1.410 6.568 1.536
O -1.410 4.374 3.935
O 1.097 1.536 6.881
O 1.536 4.061 4.374
O 4.061 6.568 3.935
O 3.935 4.061 6.568
O -1.097 3.935 6.881
CELL_PARAMETERS angstrom
-5.471 5.471 5.471
5.471 -5.471 5.471
5.471 5.471 -5.471
```

Summary:
Energy ... -8.641 eV per atom

***

PmRuO3 after structural relaxation, computed with GGA-PBEsol. Values from VASP.

Quantum ESPRESSO input file:
```
&SYSTEM
  ibrav = 0, nat = 5, ntyp = 3
/
ATOMIC_SPECIES
Pm 145.00 Pm.upf
Ru 101.07 Ru.upf
O 16.00 O.upf
ATOMIC_POSITIONS angstrom
Pm 0.000 0.000 0.000
Ru 1.946 1.946 1.946
O 0.000 1.946 1.946
O 1.946 0.000 1.946
O 1.946 1.946 0.000
CELL_PARAMETERS angstrom
3.893 0.000 0.000
0.000 3.893 0.000
0.000 0.000 3.893
```

Summary:
Energy ... -8.070 eV per atom

***

Pr7O12 after structural relaxation, computed with GGA-PBEsol. Values from VASP.

Quantum ESPRESSO input file:
```
&SYSTEM
  ibrav = 0, nat = 19, ntyp = 2
/
ATOMIC_SPECIES
Pr 140.91 Pr.upf
O 16.00 O.upf
ATOMIC_POSITIONS angstrom
Pr 0.000 0.000 0.000
Pr -0.850 -2.360 3.404
Pr -1.619 1.916 3.404
Pr -2.468 -0.444 6.338
Pr 2.468 0.444 3.404
Pr 1.619 -1.916 6.338
Pr 0.850 2.360 6.338
O -1.407 -4.499 4.279
O -4.600 -1.031 5.463
O -2.122 -0.358 3.897
O -3.193 3.468 4.279
O -0.751 -2.017 5.844
O 1.371 -1.659 3.897
O -1.371 1.659 5.844
O 0.751 2.017 3.897
O 3.193 -3.468 5.463
O 2.122 0.358 5.844
O 4.600 1.031 4.279
O 1.407 4.499 5.463
CELL_PARAMETERS angstrom
5.250 3.031 3.247
-5.250 3.031 3.247
0.000 -6.062 3.247
```

Summary:
Energy ... -8.197 eV per atom